[1]
## GaCoGe (PBE)

Data for a geometry-optimized GaCoGe structure.

The structure in POSCAR format:
```
GaCoGe
1.0
-2.797 -1.022 -2.843
-0.414 -3.708 1.740
-3.941 1.934 3.183
Co Ge Ga
2 2 2
Cartesian
-4.326 -2.068 0.394
-6.296 -1.102 1.986
-3.912 -1.074 2.611
-3.133 -0.698 -1.272
-5.104 0.270 0.320
-1.942 -2.041 1.020
```

Computed properties:
The calculation puts the excess energy over the best structure of this formula in the dataset at 85 meV/atom. The calculation puts the energy relative to the elements at -0.10 eV/atom. Its space-group type is No. 131. For the density of states at the Fermi level, the calculation gives 4.89 states/eV/cell.

[2]
## LaGa3P (PBE)

Data for a geometry-optimized LaGa3P structure.

The structure in POSCAR format:
```
LaGa3P
1.0
-5.302 0.941 1.788
-2.018 -2.222 -4.815
-0.098 -5.135 2.411
La Ga P
1 3 1
Cartesian
0.000 0.000 0.000
-1.009 -1.111 -2.408
-0.049 -2.568 1.205
-2.651 0.470 0.894
-3.709 -3.208 -0.308
```

Computed properties:
The calculation puts the excess energy over the best structure of this formula in the dataset at 1181 meV/atom. The calculation puts the energy relative to the elements at 1.14 eV/atom. Its space-group type is No. 221. For the density of states at the Fermi level, the calculation gives 3.20 states/eV/cell.